# 1
VASP calculation (PBE-GGA) on a geometry-optimized ThMgAgRu structure.

Values from the calculation:
DFT total energy = -5.397 eV/atom
Formation energy from the elements = -0.111 eV/atom

a b c (Å): 4.918 4.918 4.918
angles (deg): 60.00 60.00 60.00
Positions (direct):
1 Ru 0.750 0.750 0.750
2 Mg 0.000 0.000 0.000
3 Ag 0.250 0.250 0.250
4 Th 0.500 0.500 0.500

***

# 2
VASP calculation (PBE-GGA) on a geometry-optimized TmMgAgRu structure.

Values from the calculation:
DFT total energy = -4.761 eV/atom
Formation energy from the elements = -0.213 eV/atom

a b c (Å): 4.737 4.737 4.737
angles (deg): 60.00 60.00 60.00
Positions (direct):
1 Ru 0.250 0.250 0.250
2 Mg 0.000 0.000 0.000
3 Tm 0.500 0.500 0.500
4 Ag 0.750 0.750 0.750

***

# 3
VASP calculation (PBE-GGA) on a geometry-optimized YMgAgRu structure.

Values from the calculation:
DFT total energy = -5.208 eV/atom
Formation energy from the elements = -0.161 eV/atom

a b c (Å): 4.789 4.789 4.789
angles (deg): 60.00 60.00 60.00
Positions (direct):
1 Y 0.750 0.750 0.750
2 Ru 0.500 0.500 0.500
3 Mg 0.250 0.250 0.250
4 Ag 0.000 0.000 0.000

***

# 4
VASP calculation (PBE-GGA) on a geometry-optimized Y4MgAgRu2 structure.

Values from the calculation:
DFT total energy = -6.378 eV/atom
Formation energy from the elements = -0.272 eV/atom

a b c (Å): 4.997 4.997 8.687
angles (deg): 73.28 73.28 60.00
Positions (direct):
1 Y 0.377 0.377 0.869
2 Y 0.873 0.873 0.380
3 Y 0.127 0.127 0.620
4 Y 0.623 0.623 0.131
5 Mg 0.000 0.000 0.000
6 Ag 0.500 0.500 0.500
7 Ru 0.747 0.747 0.758
8 Ru 0.253 0.253 0.242

***

# 5
VASP calculation (PBE-GGA) on a geometry-optimized Mg2Zn5AgRu2 structure.

Values from the calculation:
DFT total energy = -3.150 eV/atom
Formation energy from the elements = -0.054 eV/atom

a b c (Å): 4.014 9.074 9.074
angles (deg): 90.00 90.00 90.00
Positions (direct):
1 Mg 0.000 0.672 0.172
2 Mg 0.000 0.328 0.828
3 Mg 0.000 0.172 0.328
4 Mg 0.000 0.828 0.672
5 Zn 0.500 0.203 0.076
6 Zn 0.500 0.797 0.924
7 Zn 0.500 0.076 0.797
8 Zn 0.500 0.703 0.424
9 Zn 0.500 0.924 0.203
10 Zn 0.500 0.297 0.576
11 Zn 0.500 0.576 0.703
12 Zn 0.500 0.424 0.297
13 Zn 0.500 0.500 0.000
14 Zn 0.500 0.000 0.500
15 Ag 0.000 0.000 0.000
16 Ag 0.000 0.500 0.500
17 Ru 0.000 0.123 0.623
18 Ru 0.000 0.877 0.377
19 Ru 0.000 0.623 0.877
20 Ru 0.000 0.377 0.123

***

# 6
VASP calculation (PBE-GGA) on a geometry-optimized MgZrAgRu structure.

Values from the calculation:
DFT total energy = -5.743 eV/atom
Formation energy from the elements = -0.176 eV/atom

a b c (Å): 4.654 4.654 4.654
angles (deg): 60.00 60.00 60.00
Positions (direct):
1 Ru 0.750 0.750 0.750
2 Mg 0.000 0.000 0.000
3 Zr 0.500 0.500 0.500
4 Ag 0.250 0.250 0.250

***

# 7
VASP calculation (PBE-GGA) on a geometry-optimized Mg2Ag2S structure.

Values from the calculation:
Formation energy from raw total energies = -21.7 kJ per mole of atoms
Offset from the most stable computed form = 0.0000 eV per atom
DFT total energy = -2.829 eV/atom

a b c (Å): 3.698 3.698 8.007
angles (deg): 76.65 76.65 90.00
Positions (direct):
1 S 0.000 0.000 0.000
2 Mg 0.401 0.401 0.197
3 Mg 0.599 0.599 0.803
4 Ag 0.750 0.250 0.500
5 Ag 0.250 0.750 0.500

***

# 8
VASP calculation (PBE-GGA) on a geometry-optimized MgAg6S4 structure.

Values from the calculation:
Formation energy from raw total energies = -24.4 kJ per mole of atoms
DFT total energy = -3.454 eV/atom

a b c (Å): 6.499 8.676 8.676
angles (deg): 90.00 90.00 90.00
Positions (direct):
1 Mg 0.000 0.500 0.500
2 Mg 0.500 0.000 0.000
3 Ag 0.500 0.680 0.320
4 Ag 0.500 0.320 0.320
5 Ag 0.858 0.000 0.500
6 Ag 0.358 0.000 0.500
7 Ag 0.500 0.320 0.680
8 Ag 0.500 0.680 0.680
9 Ag 0.000 0.820 0.820
10 Ag 0.000 0.180 0.820
11 Ag 0.142 0.500 0.000
12 Ag 0.642 0.500 0.000
13 Ag 0.000 0.820 0.180
14 Ag 0.000 0.180 0.180
15 S 0.288 0.000 0.231
16 S 0.788 0.731 0.500
17 S 0.788 0.269 0.500
18 S 0.288 0.000 0.769
19 S 0.212 0.500 0.731
20 S 0.712 0.231 0.000
21 S 0.712 0.769 0.000
22 S 0.212 0.500 0.269